## Ba2ZnOsBr (SCAN)

Data for Ba2ZnOsBr at its PBEsol-relaxed geometry.

## Properties
**Symmetry**: P4/mmm, No. 123
**Energy relative to the elements, uncorrected**: 781 meV/atom
**Total magnetic moment**: 1.645 μB per formula unit

Structure (extended XYZ):
```
5
Lattice="-0.766 1.422 -4.581 3.119 -4.685 -1.976 -4.996 -3.253 -0.174" Properties=species:S:1:pos:R:3 pbc="T T T"
Os -1.322 -3.258 -3.365
Br -0.383 0.711 -2.291
Zn 0.000 0.000 0.000
Ba -2.498 -1.627 -0.087
Ba 1.560 -2.342 -0.988
```


## Ba2P2Br (SCAN)

Data for Ba2P2Br at its PBEsol-relaxed geometry.

## Properties
**Symmetry**: I4/mmm, No. 139
**Energy relative to the elements, uncorrected**: -1269 meV/atom
**Total magnetic moment**: 0.911 μB per formula unit

Structure (extended XYZ):
```
5
Lattice="5.860 0.000 0.000 -2.930 5.470 0.014 0.000 3.127 4.957" Properties=species:S:1:pos:R:3 pbc="T T T"
P 0.000 6.135 3.059
P 2.930 2.461 1.912
Ba 2.930 5.080 3.724
Ba 0.000 3.517 1.246
Br 0.000 0.000 0.000
```


## Ba8P5Br (SCAN)

Data for Ba8P5Br at its PBEsol-relaxed geometry.

## Properties
**Symmetry**: I-4, No. 82
**Energy relative to the elements, uncorrected**: -1366 meV/atom
**Total magnetic moment**: 0.000 μB per formula unit

Structure (extended XYZ):
```
14
Lattice="8.431 -0.004 0.000 -2.850 7.935 0.000 -2.791 -3.965 6.897" Properties=species:S:1:pos:R:3 pbc="T T T"
Ba 0.308 4.921 1.694
Ba 4.549 3.521 2.580
Ba 3.128 7.409 0.636
Ba 1.737 -2.015 5.204
Ba -2.252 -2.096 5.192
Ba 1.578 1.138 1.706
Ba 3.128 1.480 6.262
Ba -1.012 1.505 4.317
P 1.455 3.432 4.311
P -2.832 3.467 6.112
P 2.791 3.965 0.000
P -0.051 -1.437 2.586
P 7.010 2.470 0.786
Br 4.216 -0.002 3.449
```


## BaPBr3 (SCAN)

Data for BaPBr3 at its PBEsol-relaxed geometry.

## Properties
**Symmetry**: Pm-3m, No. 221
**Energy relative to the elements, uncorrected**: -508 meV/atom
**Total magnetic moment**: 1.936 μB per formula unit

Structure (extended XYZ):
```
5
Lattice="-3.805 -1.052 -4.815 3.698 -4.629 -1.912 -3.257 -4.028 3.454" Properties=species:S:1:pos:R:3 pbc="T T T"
Br 1.849 -2.315 -0.956
Br -1.628 -2.014 1.727
Br -1.903 -0.526 -2.407
Ba 0.000 0.000 0.000
P -1.682 -4.855 -1.636
```


## Ba2PBr (SCAN)

Data for Ba2PBr at its PBEsol-relaxed geometry.

## Properties
**Symmetry**: C2/m, No. 12
**Energy relative to the elements, uncorrected**: -1494 meV/atom
**Total magnetic moment**: 0.000 μB per formula unit

Structure (extended XYZ):
```
4
Lattice="-3.641 0.120 1.442 -1.218 -4.683 -2.710 1.649 -2.970 4.384" Properties=species:S:1:pos:R:3 pbc="T T T"
Ba 0.824 -1.485 2.192
Ba -0.609 -2.341 -1.355
Br -1.821 0.060 0.721
P -1.605 -3.766 1.558
```


## BaPSe2Br (SCAN)

Data for BaPSe2Br at its PBEsol-relaxed geometry.

## Properties
**Symmetry**: P4/mmm, No. 123
**Energy relative to the elements, uncorrected**: -934 meV/atom
**Total magnetic moment**: 0.000 μB per formula unit

Structure (extended XYZ):
```
5
Lattice="-1.575 -4.657 0.851 4.006 -0.833 2.854 -2.598 1.632 4.123" Properties=species:S:1:pos:R:3 pbc="T T T"
Se -0.787 -2.328 0.425
Se 2.003 -0.417 1.427
P 0.000 0.000 0.000
Br -1.299 0.816 2.061
Ba -0.083 -1.929 3.914
```


## BaPbBr3 (SCAN)

Data for BaPbBr3 at its PBEsol-relaxed geometry.

## Properties
**Symmetry**: Pm-3m, No. 221
**Energy relative to the elements, uncorrected**: -1115 meV/atom
**Total magnetic moment**: 0.000 μB per formula unit

Structure (extended XYZ):
```
5
Lattice="5.828 0.000 0.000 0.000 5.828 0.000 0.000 0.000 5.828" Properties=species:S:1:pos:R:3 pbc="T T T"
Br 0.000 2.914 0.000
Br 0.000 0.000 2.914
Br 2.914 0.000 0.000
Ba 2.914 2.914 2.914
Pb 0.000 0.000 0.000
```


## Ba2PbBr (SCAN)

Data for Ba2PbBr at its PBEsol-relaxed geometry.

## Properties
**Symmetry**: Pmmm, No. 47
**Energy relative to the elements, uncorrected**: -1321 meV/atom
**Total magnetic moment**: 0.000 μB per formula unit

Structure (extended XYZ):
```
4
Lattice="4.393 0.000 0.000 0.000 5.336 0.000 0.000 0.000 6.875" Properties=species:S:1:pos:R:3 pbc="T T T"
Ba 2.196 2.668 0.000
Ba 0.000 0.000 3.438
Br 0.000 0.000 0.000
Pb 2.196 2.668 3.438
```


## Ba2PbBr (SCAN)

Data for Ba2PbBr at its PBEsol-relaxed geometry.

## Properties
**Symmetry**: Amm2, No. 38
**Energy relative to the elements, uncorrected**: -1299 meV/atom
**Total magnetic moment**: 0.000 μB per formula unit

Structure (extended XYZ):
```
4
Lattice="-2.053 1.443 -3.144 2.524 -3.914 -3.444 -3.820 -4.932 2.804" Properties=species:S:1:pos:R:3 pbc="T T T"
Br -1.039 0.711 -1.569
Ba 1.196 -2.014 -1.705
Ba -2.438 -2.118 0.620
Pb -2.095 -3.260 -2.702
```


## BaPbSeBr2 (SCAN)

Data for BaPbSeBr2 at its PBEsol-relaxed geometry.

## Properties
**Symmetry**: P4/mmm, No. 123
**Energy relative to the elements, uncorrected**: -1254 meV/atom
**Total magnetic moment**: 0.000 μB per formula unit

Structure (extended XYZ):
```
5
Lattice="5.630 0.000 0.000 0.000 5.630 0.000 0.000 0.000 5.783" Properties=species:S:1:pos:R:3 pbc="T T T"
Se 0.000 0.000 2.891
Ba 2.815 2.815 2.891
Br 2.815 0.000 0.000
Br 0.000 2.815 0.000
Pb 0.000 0.000 0.000
```


## BaSnPb2Br (SCAN)

Data for BaSnPb2Br at its PBEsol-relaxed geometry.

## Properties
**Symmetry**: P4/mmm, No. 123
**Energy relative to the elements, uncorrected**: 354 meV/atom
**Total magnetic moment**: 0.000 μB per formula unit

Structure (extended XYZ):
```
5
Lattice="-3.460 -4.344 -1.499 -0.919 -1.386 6.137 -4.996 3.930 0.140" Properties=species:S:1:pos:R:3 pbc="T T T"
Br -1.730 -2.172 -0.749
Pb -2.498 1.965 0.070
Pb -0.459 -0.693 3.068
Sn -4.687 -0.900 2.389
Ba 0.000 0.000 0.000
```


## BaPd3Br (SCAN)

Data for BaPd3Br at its PBEsol-relaxed geometry.

## Properties
**Symmetry**: Pm-3m, No. 221
**Energy relative to the elements, uncorrected**: 883 meV/atom
**Total magnetic moment**: 0.000 μB per formula unit

Structure (extended XYZ):
```
5
Lattice="5.281 0.000 0.000 0.000 5.281 0.000 0.000 0.000 5.281" Properties=species:S:1:pos:R:3 pbc="T T T"
Pd 2.640 0.000 0.000
Pd 0.000 2.640 0.000
Pd 0.000 0.000 2.640
Br 2.640 2.640 2.640
Ba 0.000 0.000 0.000
```


## Rb2BaBr4 (SCAN)

Data for Rb2BaBr4 at its PBEsol-relaxed geometry.

## Properties
**Symmetry**: I-42d, No. 122
**Energy relative to the elements, uncorrected**: -2173 meV/atom
**Total magnetic moment**: 0.000 μB per formula unit

Structure (extended XYZ):
```
14
Lattice="8.588 0.017 0.030 -2.924 8.074 -0.030 -2.924 -3.981 7.025" Properties=species:S:1:pos:R:3 pbc="T T T"
Br -1.738 6.398 2.517
Br 4.008 -1.959 5.070
Br 5.480 0.036 1.564
Br -3.535 1.628 6.227
Br -0.286 2.357 2.525
Br 3.821 4.200 3.733
Br 0.759 1.626 6.248
Br 2.451 2.155 0.214
Rb 2.862 1.011 3.586
Rb -1.584 4.123 5.188
Rb 5.634 3.479 0.889
Rb -1.432 -0.392 4.387
Ba 0.000 0.000 0.000
Ba 1.370 5.069 1.749
```


## Rb2BaZrBr (SCAN)

Data for Rb2BaZrBr at its PBEsol-relaxed geometry.

## Properties
**Symmetry**: P4/mmm, No. 123
**Energy relative to the elements, uncorrected**: 93 meV/atom
**Total magnetic moment**: 4.439 μB per formula unit

Structure (extended XYZ):
```
5
Lattice="5.357 0.000 0.000 0.000 6.579 0.000 0.000 0.000 6.579" Properties=species:S:1:pos:R:3 pbc="T T T"
Br 0.000 0.000 0.000
Zr 2.678 0.000 0.000
Ba 2.678 3.290 3.290
Rb 0.000 3.290 0.000
Rb 0.000 0.000 3.290
```


## BaReBr2 (SCAN)

Data for BaReBr2 at its PBEsol-relaxed geometry.

## Properties
**Symmetry**: Cm, No. 8
**Energy relative to the elements, uncorrected**: 87 meV/atom
**Total magnetic moment**: 5.001 μB per formula unit

Structure (extended XYZ):
```
4
Lattice="-0.351 0.196 4.500 1.620 -4.654 0.329 4.682 3.418 -2.052" Properties=species:S:1:pos:R:3 pbc="T T T"
Re 0.615 -1.523 2.382
Br 4.234 3.458 2.447
Br 2.519 0.416 2.446
Ba 3.548 -2.006 0.364
```


## Ba2RhBr (SCAN)

Data for Ba2RhBr at its PBEsol-relaxed geometry.

## Properties
**Symmetry**: P4mm, No. 99
**Energy relative to the elements, uncorrected**: -955 meV/atom
**Total magnetic moment**: 0.000 μB per formula unit

Structure (extended XYZ):
```
4
Lattice="4.577 0.000 0.000 0.000 4.577 0.000 0.000 0.000 6.400" Properties=species:S:1:pos:R:3 pbc="T T T"
Rh 2.289 2.289 5.813
Ba 2.289 2.289 2.141
Ba 0.000 0.000 5.616
Br 0.000 0.000 2.431
```


## Ba2RhBr (SCAN)

Data for Ba2RhBr at its PBEsol-relaxed geometry.

## Properties
**Symmetry**: R3m, No. 160
**Energy relative to the elements, uncorrected**: -1017 meV/atom
**Total magnetic moment**: 0.000 μB per formula unit

Structure (extended XYZ):
```
4
Lattice="4.424 0.000 0.000 2.212 3.831 0.000 2.212 1.277 8.072" Properties=species:S:1:pos:R:3 pbc="T T T"
Br 4.424 2.554 4.027
Ba 6.635 3.831 6.373
Ba 6.635 3.831 1.692
Rh 2.212 1.277 0.017
```


## Ba2RhBr (SCAN)

Data for Ba2RhBr at its PBEsol-relaxed geometry.

## Properties
**Symmetry**: R-3m, No. 166
**Energy relative to the elements, uncorrected**: -1038 meV/atom
**Total magnetic moment**: 0.001 μB per formula unit

Structure (extended XYZ):
```
4
Lattice="4.484 0.000 0.000 2.242 3.883 0.000 2.242 1.294 7.891" Properties=species:S:1:pos:R:3 pbc="T T T"
Ba 2.242 1.294 1.666
Ba 6.726 3.883 6.225
Br 4.484 2.589 3.946
Rh 0.000 0.000 0.000
```


## Ba2RhBr (SCAN)

Data for Ba2RhBr at its PBEsol-relaxed geometry.

## Properties
**Symmetry**: P4/mmm, No. 123
**Energy relative to the elements, uncorrected**: -988 meV/atom
**Total magnetic moment**: 0.018 μB per formula unit

Structure (extended XYZ):
```
4
Lattice="-0.610 -3.196 1.922 2.792 0.900 2.383 -5.388 3.933 4.828" Properties=species:S:1:pos:R:3 pbc="T T T"
Ba -3.868 2.823 3.466
Ba -1.520 1.110 1.362
Rh -1.603 0.818 4.567
Br 1.091 -1.148 2.153
```


## BaRhBr (SCAN)

Data for BaRhBr at its PBEsol-relaxed geometry.

## Properties
**Symmetry**: F-43m, No. 216
**Energy relative to the elements, uncorrected**: -160 meV/atom
**Total magnetic moment**: 0.000 μB per formula unit

Structure (extended XYZ):
```
3
Lattice="-4.135 -0.902 -2.470 -3.673 -2.411 2.170 -4.125 2.367 1.180" Properties=species:S:1:pos:R:3 pbc="T T T"
Br -8.950 -0.710 0.660
Ba -5.966 -0.473 0.440
Rh 0.000 0.000 0.000
```